1.
Density functional theory data (PBE) for Tb3Y5Ho2 after structural relaxation.

Lattice parameters (Å, degrees): 6.8112 10.9699 10.9699 59.57 71.91 71.91
Fractional positions:
Y (0.2500, 0.5000, 0.5000)
Y (0.9324, 0.8176, 0.8176)
Y (0.4324, 0.8176, 0.8176)
Y (0.0676, 0.1824, 0.1824)
Y (0.8298, 0.5582, 0.7822)
Y (0.5676, 0.1824, 0.1824)
Y (0.6702, 0.2178, 0.4418)
Y (0.7500, 0.5000, 0.5000)
Y (0.3298, 0.7822, 0.5582)
Y (0.1702, 0.4418, 0.2178)
Tb (0.6679, 0.5374, 0.1269)
Tb (0.8322, 0.8731, 0.4626)
Tb (0.7500, 0.0000, 0.0000)
Tb (0.2500, 0.0000, 0.0000)
Tb (0.1678, 0.1269, 0.5374)
Tb (0.3322, 0.4626, 0.8731)
Ho (0.4775, 0.7874, 0.2575)
Ho (0.5225, 0.2126, 0.7425)
Ho (0.0225, 0.7425, 0.2126)
Ho (0.9775, 0.2575, 0.7874)

Space group: No. 72
E above lowest polymorph (meV/atom): 77
Density of states at the Fermi level (states/eV/cell): 31.51
Magnetic moment (μB/cell): 0.0
Mass density (kg/m3): 6296
E_form (eV/f.u.): 2.7

2.
Density functional theory data (PBE) for Tm2Cd3Hg after structural relaxation.

Lattice parameters (Å, degrees): 3.3934 4.9429 8.5288 90.00 90.00 90.00
Fractional positions:
Cd (0.5000, 0.0000, 0.8306)
Cd (0.5000, 0.0000, 0.1632)
Cd (0.5000, 0.5000, 0.6710)
Tm (0.0000, 0.5000, 0.0060)
Tm (0.0000, 0.0000, 0.4940)
Hg (0.5000, 0.5000, 0.3352)

Space group: No. 25
Density of states at the Fermi level (states/eV/cell): 3.62
Magnetic moment (μB/cell): 0.0
Mass density (kg/m3): 10165
E_form (eV/f.u.): -1.9